A relaxed Pu2VH8 crystal, computed with PBE-GGA.

**Space group**: Immm (71)
**Calculated total energy**: -6.123 eV/atom
**Magnetic moment**: 1.16 μB/atom

a = 3.644 Å, b = 4.729 Å, c = 6.209 Å
α = 112.40°, β = 107.05°, γ = 90.00°
Last column: magnetic moment on the atom in μB.
Fractional coordinates of all 11 atoms:
H 0.365 0.629 0.731  -0.03
Pu 0.828 0.328 0.656  5.09
H 0.635 0.898 0.269  -0.03
H 0.635 0.371 0.269  -0.03
Pu 0.172 0.672 0.344  5.09
V 0.500 0.000 0.000  2.10
H 0.206 0.206 0.412  -0.03
H 0.000 0.780 0.000  -0.03
H 0.000 0.220 0.000  -0.03
H 0.365 0.102 0.731  -0.03
H 0.794 0.794 0.588  -0.03